(1)
A geometry-optimized NaIn2SnPb4 structure. Source: Alexandria, functional PBE-GGA.

a = 8.9901 Å, b = 8.9901 Å, c = 8.9901 Å
α = 121.43°, β = 118.72°, γ = 89.89°
Closest atoms and distances in Å follow each position.
Fractional coordinates of all 16 atoms:
Na 0.0000 0.0000 0.0000  6 Pb 3.31-3.32
Na 0.5000 0.0000 0.5000  6 Pb 3.31-3.32
In 0.0000 0.5000 0.5000  6 Pb 3.04
In 0.5000 0.0000 0.0000  6 Pb 3.21-3.23
In 0.5000 0.5000 0.0000  6 Pb 3.04
In 0.5000 0.5000 0.5000  6 Pb 3.21-3.23
Sn 0.0000 0.0000 0.5000  6 Pb 3.13-3.16
Sn 0.0000 0.5000 0.0000  6 Pb 3.13-3.16
Pb 0.2318 0.7388 0.4930  3 In 3.04-3.23, 2 Sn 3.13, 1 Na 3.32
Pb 0.2481 0.2702 0.5221  3 In 3.04-3.21, 1 Sn 3.16, 2 Na 3.31
Pb 0.2481 0.7259 0.9779  3 In 3.04-3.21, 1 Sn 3.16, 2 Na 3.31
Pb 0.2542 0.2612 0.9930  3 In 3.04-3.23, 2 Sn 3.13, 1 Na 3.32
Pb 0.7458 0.7388 0.0070  3 In 3.04-3.23, 2 Sn 3.13, 1 Na 3.32
Pb 0.7519 0.2741 0.0221  3 In 3.04-3.21, 1 Sn 3.16, 2 Na 3.31
Pb 0.7519 0.7298 0.4779  3 In 3.04-3.21, 1 Sn 3.16, 2 Na 3.31
Pb 0.7682 0.2612 0.5070  3 In 3.04-3.23, 2 Sn 3.13, 1 Na 3.32

Output
Crystal system: orthorhombic
Energy of formation, meV per atom: 118
Raw total energy, eV/cell: -49.370


(2)
A geometry-optimized Na2SrInPb2 structure. Source: Alexandria, functional PBE-GGA.

a = 4.9364 Å, b = 9.4977 Å, c = 8.1954 Å
α = 90.00°, β = 90.00°, γ = 90.00°
Closest atoms and distances in Å follow each position.
Fractional coordinates of all 12 atoms:
Na 0.0000 0.0738 0.0000  5 Pb 3.46-3.62, 4 Na 3.72, 2 In 3.86-3.88
Na 0.0000 0.9262 0.5000  5 Pb 3.46-3.62, 4 Na 3.72, 2 In 3.86-3.88
Na 0.5000 0.1743 0.3198  4 Pb 3.13-3.20
Na 0.5000 0.8257 0.8198  4 Pb 3.13-3.20
Sr 0.5000 0.4435 0.9586  5 Pb 3.48-3.54, 4 In 3.61-3.86, 1 Na 3.80
Sr 0.5000 0.5565 0.4586  5 Pb 3.48-3.54, 4 In 3.61-3.86, 1 Na 3.80
In 0.0000 0.3197 0.6255  4 Pb 3.07-3.14
In 0.0000 0.6803 0.1255  4 Pb 3.07-3.14
Pb 0.0000 0.3700 0.2463  2 In 3.11-3.14, 3 Na 3.15-3.46
Pb 0.0000 0.6300 0.7463  2 In 3.11-3.14, 3 Na 3.15-3.46
Pb 0.5000 0.1405 0.7077  2 In 3.07, 2 Na 3.13-3.20
Pb 0.5000 0.8595 0.2077  2 In 3.07, 2 Na 3.13-3.20

Output
Crystal system: orthorhombic
Energy of formation, meV per atom: -284
Raw total energy, eV/cell: -32.359


(3)
A geometry-optimized Na2SrIn2Pb2 structure. Source: Alexandria, functional PBE-GGA.

a = 9.6202 Å, b = 9.6202 Å, c = 9.6202 Å
α = 30.88°, β = 30.88°, γ = 30.88°
Closest atoms and distances in Å follow each position.
Fractional coordinates of all 7 atoms:
Na 0.1442 0.1442 0.1442  3 In 3.12, 3 Na 3.20, 1 Pb 3.34
Na 0.8558 0.8558 0.8558  3 In 3.12, 3 Na 3.20, 1 Pb 3.34
Sr 0.0000 0.0000 0.0000  6 Pb 3.49
In 0.4418 0.4418 0.4418  3 Na 3.12, 3 Pb 3.16, 1 In 3.20
In 0.5582 0.5582 0.5582  3 Na 3.12, 3 Pb 3.16, 1 In 3.20
Pb 0.2658 0.2658 0.2658  3 In 3.16, 1 Na 3.34, 3 Sr 3.49
Pb 0.7342 0.7342 0.7342  3 In 3.16, 1 Na 3.34, 3 Sr 3.49

Output
Crystal system: trigonal
Energy of formation, meV per atom: -247
Raw total energy, eV/cell: -18.940


(4)
A geometry-optimized NaTbInPb structure. Source: Alexandria, functional PBE-GGA.

a = 4.3649 Å, b = 4.8939 Å, c = 5.0413 Å
α = 90.00°, β = 90.00°, γ = 90.00°
Closest atoms and distances in Å follow each position.
Fractional coordinates of all 4 atoms:
Na 0.0000 0.0000 0.0000  4 In 3.28, 4 Pb 3.33, 4 Tb 3.51
Tb 0.0000 0.5000 0.5000  4 Pb 3.28, 4 In 3.33, 4 Na 3.51
In 0.5000 0.5000 0.0000  4 Na 3.28, 4 Tb 3.33, 4 Pb 3.51
Pb 0.5000 0.0000 0.5000  4 Tb 3.28, 4 Na 3.33, 4 In 3.51

Output
Crystal system: orthorhombic
Energy of formation, meV per atom: -310
Raw total energy, eV/cell: -13.635


(5)
A geometry-optimized NaTbInPb structure. Source: Alexandria, functional PBE-GGA.

a = 5.3814 Å, b = 5.3814 Å, c = 5.3814 Å
α = 60.00°, β = 60.00°, γ = 60.00°
Closest atoms and distances in Å follow each position.
Fractional coordinates of all 4 atoms:
Na 0.0000 0.0000 0.0000  4 Pb 3.30, 4 In 3.30
Tb 0.5000 0.5000 0.5000  4 Pb 3.30, 4 In 3.30
In 0.2500 0.2500 0.2500  4 Tb 3.30, 4 Na 3.30
Pb 0.7500 0.7500 0.7500  4 Tb 3.30, 4 Na 3.30

Output
Crystal system: cubic
Energy of formation, meV per atom: -256
Raw total energy, eV/cell: -13.420


(6)
A geometry-optimized NaInTe3Pb structure. Source: Alexandria, functional PBE-GGA.

a = 9.1940 Å, b = 4.5851 Å, c = 11.7939 Å
α = 90.00°, β = 106.55°, γ = 90.00°
Closest atoms and distances in Å follow each position.
Fractional coordinates of all 12 atoms:
Na 0.2083 0.2500 0.1516  5 Te 3.18-3.37
Na 0.7917 0.7500 0.8484  5 Te 3.18-3.37
In 0.0696 0.2500 0.6313  4 Te 2.75-2.92
In 0.9304 0.7500 0.3687  4 Te 2.75-2.92
Te 0.0429 0.2500 0.8576  1 In 2.75
Te 0.2163 0.7500 0.5580  3 In 2.91-2.92
Te 0.4508 0.7500 0.1587  3 Pb 3.06-3.21, 2 Na 3.18
Te 0.5492 0.2500 0.8413  3 Pb 3.06-3.21, 2 Na 3.18
Te 0.7837 0.2500 0.4420  3 In 2.91-2.92
Te 0.9571 0.7500 0.1424  1 In 2.75
Pb 0.3298 0.7500 0.8889  3 Te 3.06-3.21
Pb 0.6702 0.2500 0.1111  3 Te 3.06-3.21

Output
Crystal system: monoclinic
Raw total energy, eV/cell: -40.182
Formation energy without anion corrections, eV/atom: -0.483